Entry 1:
28
Lattice="7.418 4.283 7.112 -7.418 4.283 7.112 0.000 -8.566 7.112" Properties=species:S:1:pos:R:3 comment="Rb3Tb2I9, relaxed, DFT PBE" volume_a3_per_cell=1356 raw_formation_energy_ev_per_fu=-20.09 spacegroup="R-3c, No. 167" dos_ef_per_ev_fu=0.0 total_energy_ev_per_cell=-92.41 pbc="T T T"
Rb -5.075 -0.224 8.890
Rb -2.343 -4.507 12.447
Rb 2.731 -4.283 8.890
Rb -2.731 4.283 12.447
Rb 2.343 4.507 8.890
Rb 5.075 0.224 12.447
Tb 0.000 0.000 3.253
Tb 0.000 0.000 7.416
Tb 0.000 0.000 13.921
Tb 0.000 0.000 18.084
I -1.460 -6.385 8.996
I -6.260 -1.928 12.341
I -2.363 0.000 5.334
I -1.460 -2.181 8.785
I 1.182 -2.046 5.334
I -4.799 4.457 8.996
I 1.182 2.046 5.334
I -2.619 0.174 12.552
I -1.159 2.355 8.785
I 1.159 -2.355 12.552
I 2.619 -0.174 8.785
I -1.182 -2.046 16.003
I 4.799 -4.457 12.341
I -1.182 2.046 16.003
I 1.460 2.181 12.552
I 2.363 0.000 16.003
I 6.260 1.928 8.996
I 1.460 6.385 12.341


Entry 2:
4
Lattice="0.000 3.973 3.973 3.973 0.000 3.973 3.973 3.973 0.000" Properties=species:S:1:pos:R:3 comment="K2SiH, relaxed, DFT PBE" volume_a3_per_cell=125 spacegroup="Fm-3m, No. 225" dos_ef_per_ev_fu=0.8 de_polymorph_ev_per_atom=0.0799 total_energy_ev_per_cell=-8.62 pbc="T T T"
K 1.986 1.986 1.986
K 5.959 5.959 5.959
Si 0.000 0.000 0.000
H 3.973 3.973 3.973


Entry 3:
4
Lattice="0.000 3.723 3.723 3.723 0.000 3.723 3.723 3.723 0.000" Properties=species:S:1:pos:R:3 comment="CaPmPtPb, relaxed, DFT PBE" volume_a3_per_cell=103 spacegroup="F-43m, No. 216" dos_ef_per_ev_fu=2.8 delta_e_f_ev_per_atom=-0.677 de_polymorph_ev_per_atom=0.1232 total_energy_ev_per_cell=-19.21 pbc="T T T"
Ca 0.000 0.000 0.000
Pm 3.723 3.723 3.723
Pt 1.862 1.862 1.862
Pb 5.585 5.585 5.585


Entry 4:
3
Lattice="4.669 0.000 0.000 -2.335 4.044 0.000 0.000 0.000 3.455" Properties=species:S:1:pos:R:3 comment="TcSbTe, relaxed, DFT PBE" volume_a3_per_cell=65 raw_formation_energy_ev_per_fu=1.45 spacegroup="P3m1, No. 156" dos_ef_per_ev_fu=2.6 de_polymorph_ev_per_atom=0.6577 total_energy_ev_per_cell=-16.18 pbc="T T T"
Tc 0.000 0.000 0.000
Sb 0.000 2.696 1.716
Te 2.335 1.348 3.449


Entry 5:
5
Lattice="5.307 0.000 0.000 0.000 5.307 0.000 0.000 0.000 5.307" Properties=species:S:1:pos:R:3 comment="ZnTcPb3, relaxed, DFT PBE" volume_a3_per_cell=149 spacegroup="Pm-3m, No. 221" dos_ef_per_ev_fu=4.0 delta_e_f_ev_per_atom=1.089 de_polymorph_ev_per_atom=0.6450 total_energy_ev_per_cell=-17.32 pbc="T T T"
Zn 0.000 0.000 0.000
Tc 2.653 2.653 2.653
Pb 0.000 0.000 2.653
Pb 0.000 2.653 0.000
Pb 2.653 0.000 0.000


Entry 6:
18
Lattice="8.736 0.000 0.000 0.000 8.736 0.000 0.000 0.000 6.280" Properties=species:S:1:pos:R:3 comment="PrNd4Cu4, relaxed, DFT PBE" volume_a3_per_cell=479 spacegroup="P4_2/n, No. 86" dos_ef_per_ev_fu=10.8 delta_e_f_ev_per_atom=0.007 total_energy_ev_per_cell=-80.35 pbc="T T T"
Pr 2.184 2.184 1.570
Pr 6.552 6.552 4.710
Nd 0.443 5.778 0.937
Nd 1.409 8.293 4.077
Nd 2.959 4.811 4.077
Nd 3.925 7.327 0.937
Nd 4.811 1.409 5.343
Nd 5.778 3.925 2.203
Nd 7.327 0.443 2.203
Nd 8.293 2.959 5.343
Cu 0.194 5.419 3.817
Cu 1.051 8.542 0.677
Cu 3.317 4.562 0.677
Cu 4.174 7.685 3.817
Cu 4.562 1.051 2.463
Cu 5.419 4.174 5.603
Cu 7.685 0.194 5.603
Cu 8.542 3.317 2.463


Entry 7:
18
Lattice="3.622 2.091 5.345 -3.622 2.091 5.345 0.000 -4.183 5.345" Properties=species:S:1:pos:R:3 comment="Ac2SmRu3O12, relaxed, DFT PBE" volume_a3_per_cell=243 raw_formation_energy_ev_per_fu=-33.84 spacegroup="R-3m, No. 166" dos_ef_per_ev_fu=11.8 total_energy_ev_per_cell=-134.11 pbc="T T T"
Ac 0.000 0.000 1.854
Ac 0.000 0.000 14.181
Sm 0.000 0.000 8.018
Ru -1.811 -1.046 5.345
Ru -1.811 1.046 10.690
Ru 0.000 2.091 5.345
O -2.123 -1.226 7.236
O 0.000 -1.666 5.820
O -1.443 0.833 5.820
O 0.000 -2.452 8.799
O -2.123 1.226 8.799
O -1.443 -0.833 10.215
O 1.443 0.833 5.820
O 2.123 -1.226 7.236
O 0.000 2.452 7.236
O 1.443 -0.833 10.215
O 0.000 1.666 10.215
O 2.123 1.226 8.799


Entry 8:
5
Lattice="5.757 0.000 0.000 0.000 5.757 0.000 0.000 0.000 4.304" Properties=species:S:1:pos:R:3 comment="Sr2SiNiAg, relaxed, DFT PBE" volume_a3_per_cell=143 raw_formation_energy_ev_per_fu=-1.07 spacegroup="P4/mmm, No. 123" dos_ef_per_ev_fu=4.1 total_energy_ev_per_cell=-18.49 pbc="T T T"
Sr 0.000 2.878 0.000
Sr 2.878 0.000 0.000
Si 0.000 0.000 2.152
Ni 0.000 0.000 0.000
Ag 2.878 2.878 2.152


> What is the formula in the seventh record?

Ac2SmRu3O12